No. 1
Here is DyTiHg2 after structural relaxation from the Alexandria database. Energies are from GGA-PBE.

Unit cell a=3.5382 b=3.5382 c=7.1130 alpha=90.00 beta=90.00 gamma=90.00
Closest atoms and distances in Å follow each position.
Sites, in units of the cell vectors:
Hg (0.0000, 0.0000, 0.7778)  4 Ti 2.96, 1 Hg 3.16, 4 Dy 3.19
Hg (0.0000, 0.0000, 0.2222)  4 Ti 2.96, 1 Hg 3.16, 4 Dy 3.19
Dy (0.5000, 0.5000, 0.5000)  8 Hg 3.19, 4 Dy 3.54, 2 Ti 3.56
Ti (0.5000, 0.5000, 0.0000)  8 Hg 2.96

Calculated values
Crystal system ... tetragonal
Relative energy among the computed polymorphs ... 0.2 meV per atom
ΔE_f ... -0.19 eV/atom

No. 2
Here is DyTiHg2 after structural relaxation from the Alexandria database. Energies are from GGA-PBE.

Unit cell a=5.0315 b=5.0315 c=5.0315 alpha=60.00 beta=60.00 gamma=60.00
Closest atoms and distances in Å follow each position.
Sites, in units of the cell vectors:
Hg (0.7500, 0.7500, 0.7500)  4 Dy 3.08, 4 Ti 3.08
Ti (0.0000, 0.0000, 0.0000)  8 Hg 3.08
Dy (0.5000, 0.5000, 0.5000)  8 Hg 3.08
Hg (0.2500, 0.2500, 0.2500)  4 Dy 3.08, 4 Ti 3.08

Calculated values
Crystal system ... cubic
Relative energy among the computed polymorphs ... 0.0 meV per atom
ΔE_f ... -0.19 eV/atom

No. 3
Here is DyTiTlHg after structural relaxation from the Alexandria database. Energies are from GGA-PBE.

Unit cell a=5.0921 b=5.0921 c=5.0921 alpha=60.00 beta=60.00 gamma=60.00
Closest atoms and distances in Å follow each position.
Sites, in units of the cell vectors:
Hg (0.0000, 0.0000, 0.0000)  4 Dy 3.12, 4 Ti 3.12
Ti (0.2500, 0.2500, 0.2500)  4 Hg 3.12, 4 Tl 3.12
Tl (0.5000, 0.5000, 0.5000)  4 Ti 3.12, 4 Dy 3.12
Dy (0.7500, 0.7500, 0.7500)  4 Hg 3.12, 4 Tl 3.12

Calculated values
Crystal system ... cubic
ΔE_f ... -0.11 eV/atom

No. 4
Here is Dy6TlHg3 after structural relaxation from the Alexandria database. Energies are from GGA-PBE.

Unit cell a=5.1713 b=9.5095 c=11.5553 alpha=105.88 beta=90.00 gamma=90.00
Closest atoms and distances in Å follow each position.
Sites, in units of the cell vectors:
Tl (0.7500, 0.0550, 0.3822)  7 Dy 3.12-3.32
Hg (0.7500, 0.2200, 0.0326)  8 Dy 3.08-3.45
Hg (0.2500, 0.3747, 0.7821)  7 Dy 2.98-3.29
Dy (0.2500, 0.8381, 0.3190)  3 Hg 3.24-3.29, 3 Tl 3.26-3.32, 5 Dy 3.58-3.61
Hg (0.2500, 0.7800, 0.9674)  8 Dy 3.08-3.45
Dy (0.7500, 0.3539, 0.3145)  5 Hg 3.05-3.36, 1 Tl 3.15
Dy (0.7500, 0.1619, 0.6810)  3 Hg 3.24-3.29, 3 Tl 3.26-3.32, 5 Dy 3.58-3.61
Dy (0.2500, 0.4676, 0.0983)  5 Hg 3.12-3.44
Dy (0.2500, 0.1220, 0.8881)  3 Hg 2.98-3.08, 1 Tl 3.12, 1 Dy 3.24
Hg (0.2500, 0.5270, 0.3836)  8 Dy 3.05-3.37
Dy (0.2500, 0.1226, 0.1683)  7 Dy 3.24-3.60, 3 Hg 3.29-3.45
Dy (0.2500, 0.2519, 0.4992)  4 Hg 3.16-3.37, 2 Tl 3.26
Dy (0.7500, 0.8780, 0.1119)  3 Hg 2.98-3.08, 1 Tl 3.12, 1 Dy 3.24
Hg (0.7500, 0.6253, 0.2179)  7 Dy 2.98-3.29
Dy (0.7500, 0.8774, 0.8317)  7 Dy 3.24-3.60, 3 Hg 3.29-3.45
Tl (0.2500, 0.9450, 0.6178)  7 Dy 3.12-3.32
Hg (0.7500, 0.4730, 0.6164)  8 Dy 3.05-3.37
Dy (0.7500, 0.5324, 0.9017)  5 Hg 3.12-3.44
Dy (0.7500, 0.7481, 0.5008)  4 Hg 3.16-3.37, 2 Tl 3.26
Dy (0.2500, 0.6461, 0.6855)  5 Hg 3.05-3.36, 1 Tl 3.15

Calculated values
Crystal system ... monoclinic
ΔE_f ... -0.33 eV/atom

No. 5
Here is Dy11Tl9Hg4 after structural relaxation from the Alexandria database. Energies are from GGA-PBE.

Unit cell a=3.7769 b=13.6451 c=13.6451 alpha=112.99 beta=90.00 gamma=90.00
Closest atoms and distances in Å follow each position.
Sites, in units of the cell vectors:
Tl (0.5000, 0.9449, 0.7909)  8 Dy 3.26-3.43, 1 Hg 3.36, 1 Tl 3.50
Tl (0.5000, 0.7909, 0.9449)  8 Dy 3.26-3.43, 1 Hg 3.36, 1 Tl 3.50
Tl (0.5000, 0.8568, 0.3679)  8 Dy 3.29-3.40, 1 Hg 3.38, 1 Tl 3.39
Tl (0.5000, 0.0551, 0.2091)  8 Dy 3.26-3.43, 1 Hg 3.36, 1 Tl 3.50
Dy (0.0000, 0.5877, 0.9328)  2 Hg 3.06, 6 Tl 3.29-3.35
Hg (0.5000, 0.2550, 0.4507)  6 Dy 3.06-3.11, 3 Tl 3.14-3.38
Dy (0.0000, 0.0000, 0.0000)  8 Tl 3.26
Dy (0.0000, 0.2823, 0.2823)  4 Hg 3.11, 4 Tl 3.43
Tl (0.5000, 0.3679, 0.8568)  8 Dy 3.29-3.40, 1 Hg 3.38, 1 Tl 3.39
Dy (0.0000, 0.7177, 0.7177)  4 Hg 3.11, 4 Tl 3.43
Dy (0.0000, 0.8373, 0.1627)  8 Tl 3.30-3.37, 2 Dy 3.62
Tl (0.5000, 0.1432, 0.6321)  8 Dy 3.29-3.40, 1 Hg 3.38, 1 Tl 3.39
Dy (0.0000, 0.6446, 0.3554)  4 Hg 3.10, 4 Tl 3.40
Hg (0.5000, 0.4507, 0.2550)  6 Dy 3.06-3.11, 3 Tl 3.14-3.38
Dy (0.0000, 0.4123, 0.0672)  2 Hg 3.06, 6 Tl 3.29-3.35
Dy (0.0000, 0.9328, 0.5877)  2 Hg 3.06, 6 Tl 3.29-3.35
Hg (0.5000, 0.5493, 0.7450)  6 Dy 3.06-3.11, 3 Tl 3.14-3.38
Dy (0.0000, 0.0672, 0.4123)  2 Hg 3.06, 6 Tl 3.29-3.35
Dy (0.0000, 0.1627, 0.8373)  8 Tl 3.30-3.37, 2 Dy 3.62
Tl (0.5000, 0.2091, 0.0551)  8 Dy 3.26-3.43, 1 Hg 3.36, 1 Tl 3.50
Hg (0.5000, 0.7450, 0.5493)  6 Dy 3.06-3.11, 3 Tl 3.14-3.38
Tl (0.5000, 0.5000, 0.5000)  4 Hg 3.14
Dy (0.0000, 0.3554, 0.6446)  4 Hg 3.10, 4 Tl 3.40
Tl (0.5000, 0.6321, 0.1432)  8 Dy 3.29-3.40, 1 Hg 3.38, 1 Tl 3.39

Calculated values
Crystal system ... orthorhombic
ΔE_f ... -0.35 eV/atom

No. 6
Here is Dy3Tl2Hg3 after structural relaxation from the Alexandria database. Energies are from GGA-PBE.

Unit cell a=6.3180 b=9.0567 c=9.0567 alpha=120.00 beta=90.00 gamma=90.00
Closest atoms and distances in Å follow each position.
Sites, in units of the cell vectors:
Hg (0.7500, 0.0000, 0.6709)  5 Dy 2.96-3.16
Tl (0.0000, 0.6667, 0.3333)  2 Tl 3.16, 6 Hg 3.42, 6 Dy 3.44
Tl (0.5000, 0.3333, 0.6667)  2 Tl 3.16, 6 Hg 3.42, 6 Dy 3.44
Dy (0.2500, 0.3244, 0.3244)  5 Hg 2.96-3.16
Dy (0.2500, 0.6756, 0.0000)  5 Hg 2.96-3.16
Hg (0.7500, 0.6709, 0.0000)  5 Dy 2.96-3.16
Dy (0.2500, 0.0000, 0.6756)  5 Hg 2.96-3.16
Hg (0.2500, 0.0000, 0.3291)  5 Dy 2.96-3.16
Hg (0.7500, 0.3291, 0.3291)  5 Dy 2.96-3.16
Dy (0.7500, 0.0000, 0.3244)  5 Hg 2.96-3.16
Dy (0.7500, 0.3244, 0.0000)  5 Hg 2.96-3.16
Tl (0.0000, 0.3333, 0.6667)  2 Tl 3.16, 6 Hg 3.42, 6 Dy 3.44
Dy (0.7500, 0.6756, 0.6756)  5 Hg 2.96-3.16
Tl (0.5000, 0.6667, 0.3333)  2 Tl 3.16, 6 Hg 3.42, 6 Dy 3.44
Hg (0.2500, 0.3291, 0.0000)  5 Dy 2.96-3.16
Hg (0.2500, 0.6709, 0.6709)  5 Dy 2.96-3.16

Calculated values
Crystal system ... hexagonal
ΔE_f ... -0.27 eV/atom

No. 7
Here is DyTl3Hg12 after structural relaxation from the Alexandria database. Energies are from GGA-PBE.

Unit cell a=4.3503 b=4.8036 c=20.7767 alpha=90.00 beta=90.00 gamma=90.00
Closest atoms and distances in Å follow each position.
Sites, in units of the cell vectors:
Hg (0.0000, 0.5000, 0.8861)  8 Hg 3.21-3.39, 2 Dy 3.37, 2 Tl 3.55
Hg (0.0000, 0.5000, 0.1139)  8 Hg 3.21-3.39, 2 Dy 3.37, 2 Tl 3.55
Hg (0.5000, 0.0000, 0.3684)  6 Hg 3.24-3.61, 4 Tl 3.44-3.49
Tl (0.0000, 0.0000, 0.7600)  12 Hg 3.24-3.59
Tl (0.0000, 0.0000, 0.2400)  12 Hg 3.24-3.59
Dy (0.0000, 0.0000, 0.0000)  12 Hg 3.21-3.37
Hg (0.5000, 0.5000, 0.2389)  4 Tl 3.24, 8 Hg 3.39-3.61
Hg (0.5000, 0.5000, 0.7611)  4 Tl 3.24, 8 Hg 3.39-3.61
Hg (0.5000, 0.5000, 0.5000)  4 Tl 3.24, 4 Hg 3.49
Hg (0.5000, 0.5000, 0.0000)  8 Hg 3.21-3.37, 4 Dy 3.24
Hg (0.0000, 0.5000, 0.3687)  8 Hg 3.24-3.49, 2 Tl 3.59
Hg (0.5000, 0.0000, 0.8861)  2 Dy 3.21, 8 Hg 3.24-3.54, 2 Tl 3.41
Tl (0.0000, 0.0000, 0.5000)  8 Hg 3.24-3.49
Hg (0.5000, 0.0000, 0.1139)  2 Dy 3.21, 8 Hg 3.24-3.54, 2 Tl 3.41
Hg (0.5000, 0.0000, 0.6316)  6 Hg 3.24-3.61, 4 Tl 3.44-3.49
Hg (0.0000, 0.5000, 0.6313)  8 Hg 3.24-3.49, 2 Tl 3.59

Calculated values
Crystal system ... orthorhombic
ΔE_f ... -0.09 eV/atom

No. 8
Here is Dy7Tl2Hg2 after structural relaxation from the Alexandria database. Energies are from GGA-PBE.

Unit cell a=6.8683 b=7.7006 c=6.8683 alpha=90.00 beta=109.44 gamma=90.00
Closest atoms and distances in Å follow each position.
Sites, in units of the cell vectors:
Dy (0.4999, 0.7184, 0.0000)  2 Hg 2.97, 2 Tl 3.31
Dy (0.0000, 0.2816, 0.4999)  2 Hg 2.97, 2 Tl 3.31
Dy (0.5000, 0.7492, 0.5000)  2 Hg 3.07, 2 Tl 3.15
Dy (0.5000, 0.2508, 0.5000)  2 Hg 3.07, 2 Tl 3.15
Tl (0.8154, 0.5000, 0.8154)  1 Tl 2.93, 2 Dy 3.15
Hg (0.7125, 0.0000, 0.2875)  7 Dy 2.97-3.22
Tl (0.1846, 0.5000, 0.1846)  1 Tl 2.93, 2 Dy 3.15
Dy (0.0000, 0.7184, 0.5001)  2 Hg 2.97, 2 Tl 3.31
Dy (0.0000, 0.0000, 0.0000)  2 Hg 3.22
Hg (0.2875, 0.0000, 0.7125)  7 Dy 2.97-3.22
Dy (0.5001, 0.2816, 0.0000)  2 Hg 2.97, 2 Tl 3.31

Calculated values
Crystal system ... orthorhombic
ΔE_f ... -0.05 eV/atom

No. 9
Here is Dy4TlHg after structural relaxation from the Alexandria database. Energies are from GGA-PBE.

Unit cell a=5.1197 b=5.1200 c=7.3209 alpha=90.00 beta=90.00 gamma=90.00
Closest atoms and distances in Å follow each position.
Sites, in units of the cell vectors:
Tl (0.5013, 0.4972, 0.9981)  8 Dy 3.18
Dy (0.5013, 0.9971, 0.2566)  2 Hg 3.11, 2 Tl 3.18
Dy (0.0012, 0.4972, 0.2567)  2 Hg 3.11, 2 Tl 3.18
Dy (0.5013, 0.9974, 0.7396)  2 Hg 3.11, 2 Tl 3.18
Hg (0.0013, 0.9973, 0.4981)  8 Dy 3.11
Dy (0.0014, 0.4974, 0.7396)  2 Hg 3.11, 2 Tl 3.18

Calculated values
Crystal system ... tetragonal
Relative energy among the computed polymorphs ... 199.1 meV per atom
ΔE_f ... -0.07 eV/atom